The following is a PBE calculation of an optimized crystal structure of YMgCu2, from Alexandria.

Computed properties:
* energy relative to the elements: -0.0666 eV/atom
* final energy: -4.1294 eV/atom

Cell lengths 3.3061, 3.3061, 6.9681 Å; angles 90.00, 90.00, 90.00 degrees
Closest atoms and distances in Å follow each position.
Space group P4mm (No. 99)
Asymmetric unit:
Y (0.0000, 0.0000, 0.0000) (multiplicity 1)  5 Cu 2.91-2.93
Mg (0.5000, 0.5000, 0.6376) (multiplicity 1)  5 Cu 2.68-2.79
Cu (0.0000, 0.0000, 0.4178) (multiplicity 1)  4 Cu 2.60, 4 Mg 2.79, 1 Y 2.91
Cu (0.5000, 0.5000, 0.2534) (multiplicity 1)  4 Cu 2.60, 1 Mg 2.68

The following is a PBE calculation of an optimized crystal structure of In2AuIBr, from Alexandria.

Computed properties:
* formation energy without anion corrections: 0.110 eV per atom
* final energy: -2.2857 eV/atom

Cell lengths 6.5903, 6.5903, 5.4514 Å; angles 90.00, 90.00, 90.00 degrees
Closest atoms and distances in Å follow each position.
Space group P4/mmm (No. 123)
Asymmetric unit:
In (0.0000, 0.5000, 0.0000) (multiplicity 2)  2 I 3.30
Au (0.0000, 0.0000, 0.5000) (multiplicity 1)  2 I 2.73
I (0.0000, 0.0000, 0.0000) (multiplicity 1)  2 Au 2.73
Br (0.5000, 0.5000, 0.5000) (multiplicity 1)  8 In 4.28, 4 Au 4.66

The following is a PBE calculation of an optimized crystal structure of Sr2AlTlH, from Alexandria.

Computed properties:
* final energy: -2.8078 eV/atom

Cell lengths 5.5477, 5.5477, 4.1814 Å; angles 90.00, 90.00, 90.00 degrees
Closest atoms and distances in Å follow each position.
Space group P4/mmm (No. 123)
Asymmetric unit:
Sr (0.0000, 0.5000, 0.0000) (multiplicity 2)  2 H 2.77
Al (0.0000, 0.0000, 0.5000) (multiplicity 1)  2 H 2.09
Tl (0.5000, 0.5000, 0.5000) (multiplicity 1)  8 Sr 3.47
H (0.0000, 0.0000, 0.0000) (multiplicity 1)  2 Al 2.09

The following is a PBE calculation of an optimized crystal structure of CsNpAg2Br8, from Alexandria.

Computed properties:
* formation energy without anion corrections: -0.879 eV per atom
* final energy: -3.6188 eV/atom

Cell lengths 7.6419, 7.6419, 9.8753 Å; angles 90.00, 90.00, 120.00 degrees
Closest atoms and distances in Å follow each position.
Space group P-3m1 (No. 164)
Asymmetric unit:
Cs (0.0000, 0.0000, 0.0000) (multiplicity 1)  6 Br 3.98
Np (0.0000, 0.0000, 0.5000) (multiplicity 1)  6 Br 2.70
Ag (0.3333, 0.6667, 0.1707) (multiplicity 2)  4 Br 2.49-2.78
Br (0.1639, 0.3278, 0.3378) (multiplicity 6)  1 Np 2.70, 1 Ag 2.78
Br (0.3333, 0.6667, 0.9186) (multiplicity 2)  1 Ag 2.49

The following is a PBE calculation of an optimized crystal structure of CaScO3, from Alexandria.

Computed properties:
* formation energy without anion corrections: -2.653 eV per atom
* final energy: -7.2949 eV/atom

Cell lengths 4.0863, 4.0863, 4.0863 Å; angles 90.00, 90.00, 90.00 degrees
Closest atoms and distances in Å follow each position.
Space group Pm-3m (No. 221)
Asymmetric unit:
Ca (0.0000, 0.0000, 0.0000) (multiplicity 1)  12 O 2.89
Sc (0.5000, 0.5000, 0.5000) (multiplicity 1)  6 O 2.04
O (0.0000, 0.5000, 0.5000) (multiplicity 3)  2 Sc 2.04

The following is a PBE calculation of an optimized crystal structure of DyNpRhO6, from Alexandria.

Computed properties:
* formation energy without anion corrections: -2.237 eV per atom
* final energy: -8.3085 eV/atom

Cell lengths 5.6064, 5.6064, 8.5665 Å; angles 90.00, 90.00, 120.00 degrees
Closest atoms and distances in Å follow each position.
Space group P-31c (No. 163)
Asymmetric unit:
Dy (0.3333, 0.6667, 0.2500) (multiplicity 2)  6 O 2.29
Np (0.3333, 0.6667, 0.7500) (multiplicity 2)  6 O 2.09
Rh (0.0000, 0.0000, 0.0000) (multiplicity 2)  6 O 2.10
O (0.0275, 0.3371, 0.6236) (multiplicity 12)  1 Np 2.09, 1 Rh 2.10, 1 Dy 2.29

The following is a PBE calculation of an optimized crystal structure of SmYMgAu, from Alexandria.

Computed properties:
* energy relative to the elements: -0.4016 eV/atom
* final energy: -4.4154 eV/atom

Cell lengths 7.4292, 7.4292, 7.4292 Å; angles 90.00, 90.00, 90.00 degrees
Closest atoms and distances in Å follow each position.
Space group F-43m (No. 216)
Asymmetric unit:
Sm (0.0000, 0.0000, 0.0000) (multiplicity 4)  4 Mg 3.22, 4 Au 3.22
Y (0.0000, 0.0000, 0.5000) (multiplicity 4)  4 Mg 3.22, 4 Au 3.22
Mg (0.2500, 0.2500, 0.7500) (multiplicity 4)  4 Sm 3.22, 4 Y 3.22
Au (0.2500, 0.2500, 0.2500) (multiplicity 4)  4 Sm 3.22, 4 Y 3.22

The following is a PBE calculation of an optimized crystal structure of MgNbTcO6, from Alexandria.

Computed properties:
* formation energy without anion corrections: -2.029 eV per atom
* final energy: -7.7823 eV/atom

Cell lengths 5.1271, 5.1271, 8.8680 Å; angles 90.00, 90.00, 120.00 degrees
Closest atoms and distances in Å follow each position.
Space group P-31c (No. 163)
Asymmetric unit:
Mg (0.3333, 0.6667, 0.2500) (multiplicity 2)  6 O 2.12
Nb (0.3333, 0.6667, 0.7500) (multiplicity 2)  6 O 2.01
Tc (0.0000, 0.0000, 0.0000) (multiplicity 2)  6 O 1.98
O (0.0160, 0.3266, 0.6261) (multiplicity 12)  1 Tc 1.98, 1 Nb 2.01, 1 Mg 2.12

Across the entries above, spin magnetization takes the values 0.00, 0.00, 0.00, 1.82, 1.00, 1.00, 0.00, 2.00 μB per formula unit, respectively.